Compound: ZrSi2Sb
Source: the Alexandria database
Functional: meta-GGA SCAN
Structure: PBEsol geometry

Calculated values
Its space-group type is Cmm2. The uncorrected energy is -21.9826 eV/atom. The calculation puts the density of states at the Fermi level at 1.626 states/eV per cell.

Cell: 3.118 3.118 8.202 Å, 90.00 90.00 102.33°
Element x y z (fractional)
Sb: 0.500 0.500 0.262
Si: 0.000 0.000 0.938
Si: 0.500 0.500 0.762
Zr: 0.000 0.000 0.538

***

Compound: ZrSiSb2
Source: the Alexandria database
Functional: meta-GGA SCAN
Structure: PBEsol geometry

Calculated values
Its space-group type is P2/m. The uncorrected energy is -28.9082 eV/atom. The calculation puts the density of states at the Fermi level at 2.036 states/eV per cell.

Cell: 3.748 3.766 6.111 Å, 90.00 99.72 90.00°
Element x y z (fractional)
Sb: 0.056 0.000 0.751
Sb: 0.944 0.000 0.249
Si: 0.500 0.500 0.000
Zr: 0.500 0.500 0.500

***

Compound: ZrSi2Sb
Source: the Alexandria database
Functional: meta-GGA SCAN
Structure: PBEsol geometry

Calculated values
Its space-group type is P4/mmm. The uncorrected energy is -22.0783 eV/atom. The calculation puts the density of states at the Fermi level at 1.685 states/eV per cell.

Cell: 3.624 3.624 5.695 Å, 90.00 90.00 90.00°
Element x y z (fractional)
Sb: 0.500 0.500 0.500
Si: 0.000 0.000 0.781
Si: 0.000 0.000 0.219
Zr: 0.500 0.500 0.000